Entry 1:
MnPtIO6 | PBE with a Hubbard U | optimized geometry

Cell and atoms, written as POSCAR:
```
MnPtIO6
1.0
-1.511 4.559 2.273
0.023 -4.499 2.828
8.782 1.643 2.543
O Pt Mn I
12 2 2 2
Direct
0.349 0.352 0.367 O
0.648 0.651 0.133 O
0.651 0.003 0.867 O
0.003 0.352 0.133 O
0.648 0.997 0.367 O
0.003 0.651 0.367 O
0.651 0.648 0.633 O
0.352 0.003 0.633 O
0.997 0.349 0.633 O
0.997 0.648 0.867 O
0.349 0.997 0.133 O
0.352 0.349 0.867 O
0.333 0.667 0.250 Pt
0.667 0.333 0.750 Pt
0.000 0.000 0.000 Mn
0.000 0.000 0.500 Mn
0.333 0.667 0.750 I
0.667 0.333 0.250 I
```

Results
Density of states at the Fermi level, states/eV per cell: 6.0
VASP energy, eV per cell: -100.744

---

Entry 2:
MnPtI2O | PBE with a Hubbard U | optimized geometry

Cell and atoms, written as POSCAR:
```
MnPtI2O
1.0
5.618 0.000 0.000
0.000 3.615 0.000
0.000 0.000 5.618
Mn I Pt O
1 2 1 1
Direct
0.000 0.000 0.000 Mn
0.000 0.000 0.500 I
0.500 0.000 0.000 I
0.500 0.500 0.500 Pt
0.000 0.500 0.000 O
```

Results
Relative energy among the computed polymorphs, eV per atom: 0.0415
Density of states at the Fermi level, states/eV per cell: 5.0
VASP energy, eV per cell: -21.000

---

Entry 3:
RbMnI2O | PBE with a Hubbard U | optimized geometry

Cell and atoms, written as POSCAR:
```
RbMnI2O
1.0
-2.744 4.421 4.165
-0.354 -4.679 4.733
4.447 1.267 1.585
O Mn I Rb
1 1 2 1
Direct
0.000 0.000 0.500 O
0.500 0.500 0.500 Mn
0.500 0.000 0.000 I
0.000 0.500 0.000 I
0.000 0.000 0.000 Rb
```

Results
Relative energy among the computed polymorphs, eV per atom: 1.2719
Density of states at the Fermi level, states/eV per cell: 7.6
VASP energy, eV per cell: -14.894

---

Entry 4:
RbMnI2O | PBE with a Hubbard U | optimized geometry

Cell and atoms, written as POSCAR:
```
RbMnI2O
1.0
6.304 0.000 0.000
0.000 6.304 0.000
0.000 0.000 3.792
I O Mn Rb
2 1 1 1
Direct
0.000 0.500 0.000 I
0.500 0.000 0.000 I
0.000 0.000 0.500 O
0.000 0.000 0.000 Mn
0.500 0.500 0.500 Rb
```

Results
Relative energy among the computed polymorphs, eV per atom: 0.0000
Density of states at the Fermi level, states/eV per cell: 4.2
VASP energy, eV per cell: -21.254

---

Entry 5:
Rb2MnI6O | PBE with a Hubbard U | optimized geometry

Cell and atoms, written as POSCAR:
```
Rb2MnI6O
1.0
-6.398 5.588 -2.116
-4.240 -6.430 -4.161
-7.835 -1.625 1.286
I Mn Rb O
6 1 2 1
Direct
0.292 0.292 0.415 I
0.708 0.708 0.585 I
0.778 0.778 0.000 I
0.222 0.778 0.000 I
0.222 0.222 0.000 I
0.778 0.222 0.000 I
0.000 0.000 0.000 Mn
0.250 0.750 0.500 Rb
0.750 0.250 0.500 Rb
0.500 0.500 0.000 O
```

Results
Density of states at the Fermi level, states/eV per cell: 16.4
VASP energy, eV per cell: -29.399

---

Entry 6:
MnReI2O | PBE with a Hubbard U | optimized geometry

Cell and atoms, written as POSCAR:
```
MnReI2O
1.0
5.492 0.000 0.000
0.000 5.492 0.000
0.000 0.000 3.561
Re O Mn I
1 1 1 2
Direct
0.500 0.500 0.500 Re
0.000 0.000 0.500 O
0.000 0.000 0.000 Mn
0.500 0.000 0.000 I
0.000 0.500 0.000 I
```

Results
Relative energy among the computed polymorphs, eV per atom: 0.7407
Density of states at the Fermi level, states/eV per cell: 7.7
VASP energy, eV per cell: -24.082

---

Entry 7:
MnReIO2 | PBE with a Hubbard U | optimized geometry

Cell and atoms, written as POSCAR:
```
MnReIO2
1.0
3.873 0.000 0.000
0.000 3.873 0.000
0.000 0.000 6.468
Mn I O Re
1 1 2 1
Direct
0.500 0.500 0.500 Mn
0.000 0.000 0.500 I
0.500 0.000 0.000 O
0.000 0.500 0.000 O
0.000 0.000 0.000 Re
```

Results
Relative energy among the computed polymorphs, eV per atom: 0.0000
Density of states at the Fermi level, states/eV per cell: 3.2
VASP energy, eV per cell: -33.331

---

Entry 8:
MnReIO2 | PBE with a Hubbard U | optimized geometry

Cell and atoms, written as POSCAR:
```
MnReIO2
1.0
-0.027 -2.875 -2.623
3.841 -0.444 0.447
-0.984 -4.042 4.441
Re I O Mn
1 1 2 1
Direct
0.500 0.500 0.500 Re
0.000 0.000 0.500 I
0.500 0.000 0.000 O
0.000 0.500 0.000 O
0.000 0.000 0.000 Mn
```

Results
Relative energy among the computed polymorphs, eV per atom: 0.9118
Density of states at the Fermi level, states/eV per cell: 2.8
VASP energy, eV per cell: -28.772

---

| no. | V (A^3/atom) |
| --- | --- |
| 1 | 12.6 |
| 2 | 22.8 |
| 3 | 43.4 |
| 4 | 30.1 |
| 5 | 40.1 |
| 6 | 21.5 |
| 7 | 19.4 |
| 8 | 18.4 |